LaBeAg2, relaxed, DFT PBE-GGA; ρ = 7165 kg/m³; size of the total moment = 0.000 μB/f.u.; ΔE_f = 123 meV/atom; volume = 21.07 Å³/atom; symmetry = I-4m2
1.0
-2.4584 2.4584 3.4861
2.4584 -2.4584 3.4861
2.4584 2.4584 -3.4861
La Be Ag
1 1 2
Direct
0.0000 0.0000 0.0000
0.2500 0.7500 0.5000
0.5000 0.5000 0.0000
0.7500 0.2500 0.5000